1.
A relaxed TmReNO crystal. Source: OQMD, functional PBE-GGA.

Values from the calculation:
**Relative energy among the computed polymorphs**: 546 meV/atom
**Symmetry**: Pmc2_1

Cell: 3.421 5.799 6.010 Å, 90.00 90.00 90.00°
Fractional positions:
N 0.000 0.887 0.285
N 0.000 0.387 0.715
O 0.500 0.340 0.140
O 0.500 0.840 0.860
Re 0.500 0.028 0.267
Re 0.500 0.528 0.733
Tm 0.000 0.499 0.320
Tm 0.000 0.999 0.680

2.
A relaxed TmReNO crystal. Source: OQMD, functional PBE-GGA.

Values from the calculation:
**Relative energy among the computed polymorphs**: 756 meV/atom
**Symmetry**: P4/mmm

Cell: 4.787 4.787 4.242 Å, 90.00 90.00 90.00°
Fractional positions:
N 0.000 0.500 0.500
N 0.500 0.000 0.500
O 0.000 0.000 0.000
O 0.500 0.500 0.000
Re 0.500 0.000 0.000
Re 0.000 0.500 0.000
Tm 0.000 0.000 0.500
Tm 0.500 0.500 0.500

3.
A relaxed ZnReNO crystal. Source: OQMD, functional PBE-GGA.

Values from the calculation:
**Relative energy among the computed polymorphs**: 188 meV/atom
**Symmetry**: Pmc2_1

Cell: 2.941 4.893 6.294 Å, 90.00 90.00 90.00°
Fractional positions:
N 0.000 0.907 0.299
N 0.000 0.407 0.701
O 0.500 0.362 0.226
O 0.500 0.862 0.774
Re 0.500 0.963 0.083
Re 0.500 0.463 0.917
Zn 0.000 0.521 0.401
Zn 0.000 0.021 0.599

4.
A relaxed ZnReNO crystal. Source: OQMD, functional PBE-GGA.

Values from the calculation:
**Relative energy among the computed polymorphs**: 0 meV/atom
**Symmetry**: Pca2_1

Cell: 5.014 5.105 7.120 Å, 90.00 90.00 90.00°
Fractional positions:
N 0.637 0.047 0.175
N 0.137 0.453 0.175
N 0.637 0.547 0.825
N 0.137 0.953 0.825
O 0.595 0.520 0.354
O 0.095 0.980 0.354
O 0.595 0.020 0.646
O 0.095 0.480 0.646
Re 0.996 0.099 0.067
Re 0.496 0.401 0.067
Re 0.996 0.599 0.933
Re 0.496 0.901 0.933
Zn 0.975 0.610 0.397
Zn 0.475 0.890 0.397
Zn 0.975 0.110 0.603
Zn 0.475 0.390 0.603

5.
A relaxed ZnReNO crystal. Source: OQMD, functional PBE-GGA.

Values from the calculation:
**Relative energy among the computed polymorphs**: 177 meV/atom
**Symmetry**: Pmc2_1

Cell: 2.853 5.117 6.313 Å, 90.00 90.00 90.00°
Fractional positions:
N 0.000 0.652 0.296
N 0.000 0.152 0.704
O 0.500 0.099 0.176
O 0.500 0.599 0.824
Re 0.000 0.010 0.416
Re 0.000 0.510 0.584
Zn 0.500 0.485 0.126
Zn 0.500 0.985 0.874

6.
A relaxed ZnReNO crystal. Source: OQMD, functional PBE-GGA.

Values from the calculation:
**Relative energy among the computed polymorphs**: 1049 meV/atom
**Symmetry**: P4/nmm

Cell: 3.369 3.369 7.320 Å, 90.00 90.00 90.00°
Fractional positions:
N 0.000 0.500 0.288
N 0.500 0.000 0.712
O 0.000 0.000 0.000
O 0.500 0.500 0.000
Re 0.500 0.000 0.170
Re 0.000 0.500 0.830
Zn 0.000 0.000 0.500
Zn 0.500 0.500 0.500